RbMnTlF6: relaxed, PBE with a Hubbard U.

Cell lengths 6.546, 6.546, 9.457 Å; angles 90.00, 90.00, 120.00 degrees
Site moments in Bohr magnetons follow the coordinates.
Fractional positions:
F: 0.568 0.897 0.362  -0.01
F: 0.329 0.897 0.138  -0.01
F: 0.432 0.329 0.862  -0.01
F: 0.568 0.671 0.138  -0.01
F: 0.897 0.568 0.862  -0.01
F: 0.432 0.103 0.638  -0.01
F: 0.103 0.671 0.362  -0.01
F: 0.103 0.432 0.138  -0.01
F: 0.671 0.103 0.862  -0.01
F: 0.671 0.568 0.638  -0.01
F: 0.329 0.432 0.362  -0.01
F: 0.897 0.329 0.638  -0.01
Tl: 0.667 0.333 0.250  0.00
Tl: 0.333 0.667 0.750  0.00
Mn: 0.667 0.333 0.750  3.00
Mn: 0.333 0.667 0.250  3.00
Rb: 0.000 0.000 0.000  0.00
Rb: 0.000 0.000 0.500  0.00

Summary:
The final energy is -4.7925 eV/atom. The calculated volume comes out at 350.94 Å³ per cell.